Record 1
DFT (PBE) results for a relaxed structure of CdBiPb2O5.

Summary:
- Crystal system: orthorhombic
- Total DFT energy (no corrections): -5.103 eV/atom
- D(E_F): 8.10 states/eV per cell
- ΔE_f (raw): -0.991 eV/atom
- Space-group type: Cmc2_1 (36)

Cell: 7.874 7.874 11.139 Å, 90.00 90.00 154.09°
Positions (direct):
Cd 0.022 0.978 0.500
Cd 0.978 0.022 0.000
Bi 0.272 0.728 0.015
Bi 0.728 0.272 0.515
Pb 0.377 0.623 0.728
Pb 0.383 0.617 0.286
Pb 0.617 0.383 0.786
Pb 0.623 0.377 0.228
O 0.021 0.979 0.808
O 0.114 0.886 0.086
O 0.176 0.824 0.387
O 0.236 0.764 0.651
O 0.410 0.590 0.082
O 0.590 0.410 0.582
O 0.764 0.236 0.151
O 0.824 0.176 0.887
O 0.886 0.114 0.586
O 0.979 0.021 0.308

=====

Record 2
DFT (PBE) results for a relaxed structure of Ho2PN4.

Summary:
- Crystal system: orthorhombic
- Total DFT energy (no corrections): -7.932 eV/atom
- D(E_F): 9.63 states/eV per cell
- ΔE_f (raw): -1.094 eV/atom
- Space-group type: Fddd (70)

Cell: 7.840 6.842 5.827 Å, 75.99 57.86 46.15°
Positions (direct):
Ho 0.062 0.688 0.062
Ho 0.312 0.938 0.312
Ho 0.688 0.062 0.688
Ho 0.938 0.312 0.938
P 0.375 0.375 0.375
P 0.625 0.625 0.625
N 0.176 0.707 0.363
N 0.255 0.363 0.707
N 0.293 0.824 0.745
N 0.363 0.255 0.176
N 0.637 0.745 0.824
N 0.707 0.176 0.255
N 0.745 0.637 0.293
N 0.824 0.293 0.637

=====

Record 3
DFT (PBE) results for a relaxed structure of BaAgGe2Au.

Summary:
- Crystal system: tetragonal
- Total DFT energy (no corrections): -3.874 eV/atom
- D(E_F): 3.65 states/eV per cell
- Space-group type: I-4m2 (119)

Cell: 4.685 4.685 10.696 Å, 90.00 90.00 90.00°
Positions (direct):
Ba 0.000 0.000 0.000
Ba 0.500 0.500 0.500
Ag 0.000 0.500 0.750
Ag 0.500 0.000 0.250
Ge 0.000 0.000 0.379
Ge 0.000 0.000 0.621
Ge 0.500 0.500 0.121
Ge 0.500 0.500 0.879
Au 0.000 0.500 0.250
Au 0.500 0.000 0.750

=====

Record 4
DFT (PBE) results for a relaxed structure of ZrAgAs2.

Summary:
- Crystal system: cubic
- Total DFT energy (no corrections): -5.141 eV/atom
- D(E_F): 14.73 states/eV per cell
- Space-group type: F-43m (216)

Cell: 6.770 6.770 6.770 Å, 90.00 90.00 90.00°
Positions (direct):
Zr 0.000 0.000 0.000
Zr 0.000 0.500 0.500
Zr 0.500 0.000 0.500
Zr 0.500 0.500 0.000
Ag 0.250 0.250 0.750
Ag 0.250 0.750 0.250
Ag 0.750 0.250 0.250
Ag 0.750 0.750 0.750
As 0.000 0.000 0.500
As 0.000 0.500 0.000
As 0.250 0.250 0.250
As 0.250 0.750 0.750
As 0.500 0.000 0.000
As 0.500 0.500 0.500
As 0.750 0.250 0.750
As 0.750 0.750 0.250

=====

Record 5
DFT (PBE) results for a relaxed structure of CeNd3In2.

Summary:
- Crystal system: orthorhombic
- Total DFT energy (no corrections): -4.422 eV/atom
- D(E_F): 10.39 states/eV per cell
- Space-group type: Pmm2 (25)

Cell: 3.327 5.397 9.513 Å, 90.00 90.00 90.00°
Positions (direct):
Ce 0.000 0.000 0.000
Nd 0.000 0.000 0.317
Nd 0.000 0.500 0.506
Nd 0.000 0.500 0.840
In 0.500 0.000 0.667
In 0.500 0.500 0.166

=====

Record 6
DFT (PBE) results for a relaxed structure of Hf2Co12B7.

Summary:
- Crystal system: hexagonal
- Total DFT energy (no corrections): -7.659 eV/atom
- D(E_F): 16.54 states/eV per cell
- Space-group type: P-6 (174)

Cell: 8.308 8.308 3.354 Å, 90.00 90.00 120.00°
Positions (direct):
Hf 0.000 0.000 0.000
Hf 0.333 0.667 0.500
Co 0.056 0.285 0.500
Co 0.095 0.703 0.000
Co 0.228 0.944 0.500
Co 0.297 0.392 0.000
Co 0.392 0.174 0.000
Co 0.545 0.428 0.500
Co 0.572 0.117 0.500
Co 0.608 0.905 0.000
Co 0.715 0.772 0.500
Co 0.782 0.608 0.000
Co 0.826 0.218 0.000
Co 0.883 0.455 0.500
B 0.081 0.450 0.000
B 0.268 0.218 0.500
B 0.369 0.919 0.000
B 0.550 0.631 0.000
B 0.667 0.333 0.000
B 0.782 0.049 0.500
B 0.951 0.732 0.500

=====

Record 7
DFT (PBE) results for a relaxed structure of Sr2BiBS5.

Summary:
- Crystal system: orthorhombic
- Total DFT energy (no corrections): -4.932 eV/atom
- ΔE_f (raw): -1.092 eV/atom
- Space-group type: Cmc2_1 (36)

Cell: 9.104 9.104 12.543 Å, 90.00 90.00 155.56°
Positions (direct):
Sr 0.117 0.883 0.500
Sr 0.118 0.882 0.839
Sr 0.882 0.118 0.339
Sr 0.883 0.117 0.000
Bi 0.191 0.809 0.198
Bi 0.809 0.191 0.698
B 0.445 0.555 0.557
B 0.555 0.445 0.057
S 0.027 0.973 0.146
S 0.294 0.706 0.854
S 0.340 0.660 0.170
S 0.340 0.660 0.533
S 0.499 0.501 0.430
S 0.501 0.499 0.930
S 0.660 0.340 0.033
S 0.660 0.340 0.670
S 0.706 0.294 0.354
S 0.973 0.027 0.646

=====

Record 8
DFT (PBE) results for a relaxed structure of TbGdMn.

Summary:
- Crystal system: tetragonal
- Total DFT energy (no corrections): -9.146 eV/atom
- D(E_F): 9.86 states/eV per cell
- Space-group type: I4mm (107)

Cell: 3.489 3.489 12.883 Å, 90.00 90.00 90.00°
Positions (direct):
Tb 0.000 0.000 0.000
Tb 0.500 0.500 0.500
Gd 0.000 0.000 0.731
Gd 0.500 0.500 0.231
Mn 0.000 0.000 0.366
Mn 0.500 0.500 0.866